4
Lattice="4.522 0.000 0.000 2.261 3.916 0.000 2.261 1.305 7.438" Properties=species:S:1:pos:R:3 comment="BaEuSe2 | Alexandria via LeMat-Bulk | PBE-GGA | relaxed" volume_a3_per_cell=132 dos_ef_per_ev_atom=3.46 formation_energy_uncorrected_ev_per_atom=-2.02 space_group="R-3m, No. 166" energy_ev_per_atom=-6.809 m_tot_mub_per_atom=1.749 pbc="T T T"
Eu 0.000 0.000 0.000
Ba 4.522 2.611 3.719
Se 2.261 1.305 1.705
Se 6.783 3.916 5.733